[1]
Crystalline C at its relaxed geometry, computed with PBE.

Properties
Space-group type = P4/mmm
Formation energy from the elements = 0.7316 eV per atom
DFT total energy = -135.88 eV/cell
Energy relative to the lowest polymorph listed for this composition = 732 meV per atom
ρ = 2.7 g/cm³

abc: 6.8971 6.8971 2.5003
angles: 90.00 90.00 90.00
Positions (direct):
C1 0.0990 0.3323 0.0000
C2 0.0990 0.6677 0.0000
C3 0.2126 0.3765 0.5000
C4 0.2126 0.6235 0.5000
C5 0.3323 0.0990 0.0000
C6 0.3323 0.9010 0.0000
C7 0.3765 0.2126 0.5000
C8 0.3765 0.7874 0.5000
C9 0.6235 0.2126 0.5000
C10 0.6235 0.7874 0.5000
C11 0.6677 0.0990 0.0000
C12 0.6677 0.9010 0.0000
C13 0.7874 0.3765 0.5000
C14 0.7874 0.6235 0.5000
C15 0.9010 0.3323 0.0000
C16 0.9010 0.6677 0.0000


[2]
Crystalline C at its relaxed geometry, computed with PBE.

Properties
Space-group type = P2/m
Formation energy from the elements = 1.0008 eV per atom
DFT total energy = -8.22 eV/cell
Energy relative to the lowest polymorph listed for this composition = 1001 meV per atom
ρ = 1.3 g/cm³

abc: 1.2838 3.4893 3.5286
angles: 90.00 97.60 90.00
Positions (direct):
C1 0.0000 0.0000 0.0000


[3]
Crystalline C at its relaxed geometry, computed with PBE.

Properties
Space-group type = Fmmm
Formation energy from the elements = 0.0000 eV per atom
DFT total energy = -18.45 eV/cell
Energy relative to the lowest polymorph listed for this composition = 0 meV per atom
ρ = 1.8 g/cm³

abc: 4.7086 4.3733 2.4682
angles: 81.89 66.85 31.26
Positions (direct):
C1 0.1667 0.8333 0.1667
C2 0.8333 0.1667 0.8333


[4]
Crystalline C at its relaxed geometry, computed with PBE.

Properties
Space-group type = C2/m
Formation energy from the elements = 0.2972 eV per atom
DFT total energy = -71.41 eV/cell
Energy relative to the lowest polymorph listed for this composition = 297 meV per atom
ρ = 3.3 g/cm³

abc: 4.7675 4.7675 4.1497
angles: 96.78 96.78 30.72
Positions (direct):
C1 0.0573 0.0573 0.3795
C2 0.2143 0.2143 0.5592
C3 0.2713 0.2713 0.9147
C4 0.4418 0.4418 0.8463
C5 0.5582 0.5582 0.1537
C6 0.7287 0.7287 0.0853
C7 0.7857 0.7857 0.4408
C8 0.9427 0.9427 0.6205


[5]
Crystalline C at its relaxed geometry, computed with PBE.

Properties
Space-group type = P6_3/mmc
Formation energy from the elements = 0.1436 eV per atom
DFT total energy = -72.64 eV/cell
Energy relative to the lowest polymorph listed for this composition = 144 meV per atom
ρ = 3.5 g/cm³

abc: 2.5197 2.5197 8.3089
angles: 90.00 90.00 120.00
Positions (direct):
C1 0.0000 0.0000 0.0930
C2 0.0000 0.0000 0.4070
C3 0.0000 0.0000 0.5930
C4 0.0000 0.0000 0.9070
C5 0.3333 0.6667 0.1555
C6 0.3333 0.6667 0.3445
C7 0.6667 0.3333 0.6555
C8 0.6667 0.3333 0.8445


[6]
Crystalline C at its relaxed geometry, computed with PBE.

Properties
Space-group type = I4_1/amd
Formation energy from the elements = 0.8648 eV per atom
DFT total energy = -66.87 eV/cell
Energy relative to the lowest polymorph listed for this composition = 865 meV per atom
ρ = 2.6 g/cm³

abc: 4.2890 4.2890 4.2890
angles: 109.68 109.68 109.05
Positions (direct):
C1 0.2139 0.4639 0.4278
C2 0.2139 0.7861 0.7500
C3 0.4639 0.2139 0.9278
C4 0.4639 0.5361 0.2500
C5 0.5361 0.4639 0.7500
C6 0.5361 0.7861 0.0722
C7 0.7861 0.2139 0.2500
C8 0.7861 0.5361 0.5722


[7]
Crystalline C at its relaxed geometry, computed with PBE.

Properties
Space-group type = P6_3/mmc
Formation energy from the elements = 0.0000 eV per atom
DFT total energy = -36.90 eV/cell
Energy relative to the lowest polymorph listed for this composition = 0 meV per atom
ρ = 1.8 g/cm³

abc: 2.4682 2.4682 8.3335
angles: 90.00 90.00 120.00
Positions (direct):
C1 0.0000 0.0000 0.2500
C2 0.0000 0.0000 0.7500
C3 0.3333 0.6667 0.2500
C4 0.6667 0.3333 0.7500


[8]
Crystalline C at its relaxed geometry, computed with PBE.

Properties
Space-group type = Pmma
Formation energy from the elements = 0.4862 eV per atom
DFT total energy = -52.43 eV/cell
Energy relative to the lowest polymorph listed for this composition = 486 meV per atom
ρ = 3.2 g/cm³

abc: 2.5244 3.9112 3.8162
angles: 90.00 90.00 90.00
Positions (direct):
C1 0.2500 0.0000 0.1151
C2 0.2500 0.2951 0.3830
C3 0.2500 0.7049 0.3830
C4 0.7500 0.0000 0.8849
C5 0.7500 0.2951 0.6170
C6 0.7500 0.7049 0.6170


[9]
Crystalline C at its relaxed geometry, computed with PBE.

Properties
Space-group type = Fm-3m
Formation energy from the elements = 4.5650 eV per atom
DFT total energy = -4.66 eV/cell
Energy relative to the lowest polymorph listed for this composition = 4565 meV per atom
ρ = 2.7 g/cm³

abc: 2.1740 2.1740 2.1740
angles: 60.00 60.00 60.00
Positions (direct):
C1 0.0000 0.0000 0.0000


[10]
Crystalline C at its relaxed geometry, computed with PBE.

Properties
Space-group type = Cmmm
Formation energy from the elements = 0.2638 eV per atom
DFT total energy = -71.68 eV/cell
Energy relative to the lowest polymorph listed for this composition = 264 meV per atom
ρ = 3.4 g/cm³

abc: 4.8748 4.8748 2.5150
angles: 90.00 90.00 128.24
Positions (direct):
C1 0.0953 0.2737 0.0000
C2 0.1482 0.4814 0.5000
C3 0.2737 0.0953 0.0000
C4 0.4814 0.1482 0.5000
C5 0.5186 0.8518 0.5000
C6 0.7263 0.9047 0.0000
C7 0.8518 0.5186 0.5000
C8 0.9047 0.7263 0.0000


[11]
Crystalline C at its relaxed geometry, computed with PBE.

Properties
Space-group type = I4/mmm
Formation energy from the elements = 1.1207 eV per atom
DFT total energy = -97.24 eV/cell
Energy relative to the lowest polymorph listed for this composition = 1121 meV per atom
ρ = 1.9 g/cm³

abc: 6.8614 6.8614 6.8614
angles: 92.46 92.46 156.10
Positions (direct):
C1 0.0637 0.2382 0.3019
C2 0.0637 0.7618 0.8256
C3 0.2149 0.2149 0.4298
C4 0.2149 0.7851 0.0000
C5 0.2382 0.0637 0.3019
C6 0.2382 0.9363 0.1744
C7 0.7618 0.0637 0.8256
C8 0.7618 0.9363 0.6981
C9 0.7851 0.2149 0.0000
C10 0.7851 0.7851 0.5702
C11 0.9363 0.2382 0.1744
C12 0.9363 0.7618 0.6981


[12]
Crystalline C at its relaxed geometry, computed with PBE.

Properties
Space-group type = R-3m
Formation energy from the elements = 0.1732 eV per atom
DFT total energy = -126.71 eV/cell
Energy relative to the lowest polymorph listed for this composition = 173 meV per atom
ρ = 3.5 g/cm³

abc: 14.5548 14.5548 14.5548
angles: 9.96 9.96 9.96
Positions (direct):
C1 0.0178 0.0178 0.0178
C2 0.1726 0.1726 0.1726
C3 0.2081 0.2081 0.2081
C4 0.2681 0.2681 0.2681
C5 0.3037 0.3037 0.3037
C6 0.4104 0.4104 0.4104
C7 0.4466 0.4466 0.4466
C8 0.5534 0.5534 0.5534
C9 0.5896 0.5896 0.5896
C10 0.6963 0.6963 0.6963
C11 0.7319 0.7319 0.7319
C12 0.7919 0.7919 0.7919
C13 0.8274 0.8274 0.8274
C14 0.9822 0.9822 0.9822


[13]
Crystalline C at its relaxed geometry, computed with PBE.

Properties
Space-group type = P6_3/mmc
Formation energy from the elements = 0.1389 eV per atom
DFT total energy = -145.36 eV/cell
Energy relative to the lowest polymorph listed for this composition = 139 meV per atom
ρ = 3.5 g/cm³

abc: 2.5234 2.5234 16.5638
angles: 90.00 90.00 120.00
Positions (direct):
C1 0.0000 0.0000 0.0467
C2 0.0000 0.0000 0.4533
C3 0.0000 0.0000 0.5467
C4 0.0000 0.0000 0.9533
C5 0.3333 0.6667 0.0779
C6 0.3333 0.6667 0.1712
C7 0.3333 0.6667 0.3288
C8 0.3333 0.6667 0.4221
C9 0.3333 0.6667 0.7026
C10 0.3333 0.6667 0.7974
C11 0.6667 0.3333 0.2026
C12 0.6667 0.3333 0.2974
C13 0.6667 0.3333 0.5779
C14 0.6667 0.3333 0.6712
C15 0.6667 0.3333 0.8288
C16 0.6667 0.3333 0.9221


[14]
Crystalline C at its relaxed geometry, computed with PBE.

Properties
Space-group type = C2/m
Formation energy from the elements = 0.9977 eV per atom
DFT total energy = -8.23 eV/cell
Energy relative to the lowest polymorph listed for this composition = 998 meV per atom
ρ = 1.4 g/cm³

abc: 3.6147 3.6147 1.2839
angles: 90.38 90.38 58.91
Positions (direct):
C1 0.0000 0.0000 0.0000


[15]
Crystalline C at its relaxed geometry, computed with PBE.

Properties
Space-group type = I4/mmm
Formation energy from the elements = 0.9946 eV per atom
DFT total energy = -98.75 eV/cell
Energy relative to the lowest polymorph listed for this composition = 995 meV per atom
ρ = 1.6 g/cm³

abc: 5.7723 5.7723 5.7723
angles: 109.65 109.65 109.11
Positions (direct):
C1 0.0346 0.0346 0.4234
C2 0.0346 0.6112 0.0000
C3 0.1237 0.1237 0.2474
C4 0.1237 0.8763 0.0000
C5 0.3888 0.3888 0.4234
C6 0.3888 0.9654 0.0000
C7 0.6112 0.0346 0.0000
C8 0.6112 0.6112 0.5766
C9 0.8763 0.1237 0.0000
C10 0.8763 0.8763 0.7526
C11 0.9654 0.3888 0.0000
C12 0.9654 0.9654 0.5766


[16]
Crystalline C at its relaxed geometry, computed with PBE.

Properties
Space-group type = C2/m
Formation energy from the elements = 0.8174 eV per atom
DFT total energy = -25.22 eV/cell
Energy relative to the lowest polymorph listed for this composition = 817 meV per atom
ρ = 1.6 g/cm³

abc: 3.7094 3.7094 4.3093
angles: 90.53 90.53 141.61
Positions (direct):
C1 0.0000 0.0000 0.0000
C2 0.1948 0.8052 0.0000
C3 0.8052 0.1948 0.0000


[17]
Crystalline C at its relaxed geometry, computed with PBE.

Properties
Space-group type = Fd-3m
Formation energy from the elements = 2.9268 eV per atom
DFT total energy = -25.19 eV/cell
Energy relative to the lowest polymorph listed for this composition = 2927 meV per atom
ρ = 2.9 g/cm³

abc: 3.4006 3.4006 3.4006
angles: 60.00 60.00 60.00
Positions (direct):
C1 0.0000 0.0000 0.0000
C2 0.0000 0.0000 0.5000
C3 0.0000 0.5000 0.0000
C4 0.5000 0.0000 0.0000


[18]
Crystalline C at its relaxed geometry, computed with PBE.

Properties
Space-group type = P6_3/mmc
Formation energy from the elements = 3.9421 eV per atom
DFT total energy = -10.56 eV/cell
Energy relative to the lowest polymorph listed for this composition = 3942 meV per atom
ρ = 1.9 g/cm³

abc: 1.7271 1.7271 7.9735
angles: 90.00 90.00 120.00
Positions (direct):
C1 0.3333 0.6667 0.2500
C2 0.6667 0.3333 0.7500


[19]
Crystalline C at its relaxed geometry, computed with PBE.

Properties
Space-group type = P6_3/mmc
Formation energy from the elements = 0.1408 eV per atom
DFT total energy = -109.00 eV/cell
Energy relative to the lowest polymorph listed for this composition = 141 meV per atom
ρ = 3.5 g/cm³

abc: 2.5224 2.5224 12.4340
angles: 90.00 90.00 120.00
Positions (direct):
C1 0.0000 0.0000 0.1869
C2 0.0000 0.0000 0.3131
C3 0.0000 0.0000 0.6869
C4 0.0000 0.0000 0.8131
C5 0.3333 0.6667 0.0208
C6 0.3333 0.6667 0.1451
C7 0.3333 0.6667 0.3549
C8 0.3333 0.6667 0.4792
C9 0.6667 0.3333 0.5208
C10 0.6667 0.3333 0.6451
C11 0.6667 0.3333 0.8549
C12 0.6667 0.3333 0.9792


[20]
Crystalline C at its relaxed geometry, computed with PBE.

Properties
Space-group type = Ia-3
Formation energy from the elements = 0.8311 eV per atom
DFT total energy = -67.14 eV/cell
Energy relative to the lowest polymorph listed for this composition = 831 meV per atom
ρ = 3.6 g/cm³

abc: 3.8783 3.8783 3.8783
angles: 109.47 109.47 109.47
Positions (direct):
C1 0.0000 0.1879 0.5000
C2 0.0000 0.8121 0.5000
C3 0.1879 0.5000 0.0000
C4 0.3121 0.3121 0.3121
C5 0.5000 0.0000 0.1879
C6 0.5000 0.0000 0.8121
C7 0.6879 0.6879 0.6879
C8 0.8121 0.5000 0.0000